The following is a PBE calculation of a relaxed structure of Mg3Co, from Alexandria.

The space group is R-3m (No. 166, hexagonal axes) and the conventional cell measures 9.3356, 9.3356 and 2.8532 Å, with angles of 90.00, 90.00 and 120.00 degrees. The distinct sites, in fractional coordinates, are Mg at (0.0000, 0.5000, 0.0000) and Co at (0.0000, 0.0000, 0.0000).

Its formation energy is 84 kJ/mol of formula units. The calculation puts the uncorrected energy at -2.7543 eV per atom. As for the size of the total moment: 4.835 Bohr magnetons per cell. Its density of states at the Fermi level is 9.59 states/eV per cell.